[1]
Material: Na2CoI
Method: DFT, PBE-GGA
State: relaxed

For the uncorrected formation energy, the calculation gives 0.248 eV/atom. The value obtained for the total energy is -2.575 eV/atom.

The structure belongs to space group Fm-3m (No. 225); the cell edges are 7.669, 7.669 and 7.669 Å and the angles 90.00°, 90.00° and 90.00°. The inequivalent atoms are Na at (0.250, 0.250, 0.250), Co at (0.000, 0.000, 0.000) and I at (0.000, 0.000, 0.500).



[2]
Material: NaCoNi2I
Method: DFT, PBE-GGA
State: relaxed

For the uncorrected formation energy, the calculation gives 1.249 eV/atom. The value obtained for the total energy is -3.059 eV/atom.

The structure belongs to space group P4/mmm (No. 123); the cell edges are 4.698, 4.698 and 5.534 Å and the angles 90.00°, 90.00° and 90.00°. The inequivalent atoms are Na at (0.000, 0.000, 0.000), Co at (0.500, 0.500, 0.000), Ni at (0.000, 0.500, 0.500) and I at (0.000, 0.000, 0.500).



[3]
Material: NaCoNiI2
Method: DFT, PBE-GGA
State: relaxed

For the uncorrected formation energy, the calculation gives 0.198 eV/atom. The value obtained for the total energy is -3.263 eV/atom.

The structure belongs to space group P4/mmm (No. 123); the cell edges are 5.344, 5.344 and 4.497 Å and the angles 90.00°, 90.00° and 90.00°. The inequivalent atoms are Na at (0.000, 0.000, 0.000), Co at (0.500, 0.500, 0.500), Ni at (0.500, 0.500, 0.000) and I at (0.000, 0.500, 0.500).



The calculation returns the following size of the total moment values, one per record and in order: 0.50, 0.53, 0.39 μB per atom.